Computed, not measured: an optimized crystal structure of TmZrSbO6 at the PBE level of DFT.

Magnetic moment: 0.00 Bohr magnetons per cell
Raw total energy: -0.2872 Ha/atom

Lattice parameters (Å, degrees): 5.421 5.421 9.167 90.00 90.00 120.00
Fractional coordinates of all 18 atoms:
Tm (0.333, 0.667, 0.250)
Tm (0.667, 0.333, 0.750)
Zr (0.000, 0.000, 0.000)
Zr (0.000, 0.000, 0.500)
Sb (0.333, 0.667, 0.750)
Sb (0.667, 0.333, 0.250)
O (0.031, 0.347, 0.629)
O (0.031, 0.684, 0.871)
O (0.316, 0.347, 0.871)
O (0.316, 0.969, 0.629)
O (0.347, 0.031, 0.129)
O (0.347, 0.316, 0.371)
O (0.653, 0.684, 0.629)
O (0.653, 0.969, 0.871)
O (0.684, 0.031, 0.371)
O (0.684, 0.653, 0.129)
O (0.969, 0.316, 0.129)
O (0.969, 0.653, 0.371)